Below is a relaxed structure of Cs3Ge2Pt4, with properties calculated at the PBE level.

Space group: C2/m (12)
E_form: -0.28 eV/atom
Crystal system: monoclinic
V: 257.8 Å³ per cell
Total energy: -4.27 eV per atom

```
data_Cs3Ge2Pt4
_chemical_formula_sum 'Cs3 Ge2 Pt4'
_symmetry_space_group_name_H-M 'P 1'
_symmetry_Int_Tables_number 1
_symmetry_space_group_name_Hall 'P 1'
_cell_length_a 4.2037
_cell_length_b 7.2464
_cell_length_c 9.7264
_cell_angle_alpha 113.49
_cell_angle_beta 90.00
_cell_angle_gamma 106.86
loop_
_atom_site_label
_atom_site_type_symbol
_atom_site_fract_x
_atom_site_fract_y
_atom_site_fract_z
_atom_site_occupancy
Cs1 Cs 0.3727 0.7454 0.6220 1
Cs2 Cs 0.0000 0.0000 0.0000 1
Cs3 Cs 0.6273 0.2546 0.3780 1
Ge1 Ge 0.3308 0.6617 0.2130 1
Ge2 Ge 0.6692 0.3383 0.7870 1
Pt1 Pt 0.7414 0.4827 0.0844 1
Pt2 Pt 0.0832 0.1664 0.6348 1
Pt3 Pt 0.9168 0.8336 0.3652 1
Pt4 Pt 0.2586 0.5173 0.9156 1
```